No. 1
The following is a PBE-GGA calculation of crystalline PaI5Cl at its relaxed geometry, from Alexandria via LeMat-Bulk.

Unit cell a=7.068 b=12.502 c=14.497 alpha=117.31 beta=82.17 gamma=130.52
Fractional coordinates of all 14 atoms:
I (0.161, 0.307, 0.546)
Cl (0.390, 0.073, 0.429)
I (0.687, 0.802, 0.275)
Cl (0.610, 0.927, 0.571)
I (0.550, 0.818, 0.836)
I (0.690, 0.992, 0.166)
I (0.839, 0.693, 0.454)
I (0.450, 0.182, 0.164)
I (0.310, 0.008, 0.834)
I (0.844, 0.697, 0.954)
Pa (0.000, 0.000, 0.500)
I (0.156, 0.303, 0.046)
Pa (0.000, 0.000, 0.000)
I (0.313, 0.198, 0.725)

Uncorrected formation energy: -0.873 eV/atom
Space group: P-1
Density of states at the Fermi level: 10.75 states/eV per cell



No. 2
The following is a PBE-GGA calculation of crystalline PaI2Cl at its relaxed geometry, from Alexandria via LeMat-Bulk.

Unit cell a=4.014 b=5.476 c=9.127 alpha=89.31 beta=77.36 gamma=90.00
Last column: magnetic moment on the atom in μB.
Fractional coordinates of all 4 atoms:
I (0.367, 0.993, 0.267)  -0.02
Cl (0.001, 0.500, 0.000)  -0.03
Pa (0.000, 0.000, 0.000)  1.68
I (0.632, 0.007, 0.733)  -0.02

Uncorrected formation energy: -1.122 eV/atom
Space group: P1
Energy above the lowest structure with this stoichiometry: 0.0 meV per atom
Density of states at the Fermi level: 5.19 states/eV per cell



No. 3
The following is a PBE-GGA calculation of crystalline Pa2I8Cl at its relaxed geometry, from Alexandria via LeMat-Bulk.

Unit cell a=6.162 b=11.251 c=11.251 alpha=71.79 beta=105.82 gamma=105.82
Last column: magnetic moment on the atom in μB.
Fractional coordinates of all 11 atoms:
I (0.149, 0.369, 0.930)  -0.02
I (0.650, 0.150, 0.150)  -0.01
I (0.149, 0.930, 0.369)  -0.02
Pa (0.159, 0.160, 0.160)  0.61
I (0.674, 0.672, 0.672)  -0.02
I (0.326, 0.328, 0.328)  -0.02
Cl (0.000, 0.000, 0.000)  -0.01
I (0.851, 0.070, 0.631)  -0.02
I (0.851, 0.631, 0.070)  -0.02
I (0.350, 0.850, 0.850)  -0.01
Pa (0.841, 0.840, 0.840)  0.61

Uncorrected formation energy: -0.981 eV/atom
Space group: C2/m
Energy above the lowest structure with this stoichiometry: 39.6 meV per atom
Density of states at the Fermi level: 7.72 states/eV per cell



No. 4
The following is a PBE-GGA calculation of crystalline PaI3Cl at its relaxed geometry, from Alexandria via LeMat-Bulk.

Unit cell a=7.889 b=7.889 c=16.340 alpha=68.74 beta=68.74 gamma=28.73
Last column: magnetic moment on the atom in μB.
Fractional coordinates of all 10 atoms:
Cl (0.130, 0.130, 0.287)  -0.02
Pa (0.449, 0.449, 0.716)  0.94
I (0.778, 0.778, 0.776)  -0.03
I (0.426, 0.426, 0.125)  -0.03
I (0.110, 0.110, 0.610)  -0.03
I (0.415, 0.415, 0.552)  -0.04
I (0.799, 0.799, 0.349)  -0.04
Cl (0.222, 0.222, 0.078)  -0.02
I (0.979, 0.979, 0.857)  -0.02
Pa (0.753, 0.753, 0.190)  1.03

Uncorrected formation energy: -1.120 eV/atom
Space group: Cm
Energy above the lowest structure with this stoichiometry: 21.7 meV per atom
Density of states at the Fermi level: 2.14 states/eV per cell



Short version: total moment = 0.00; 2.01; 1.05; 2.00 μB/cell, in the order given.